No. 1
{"formula": "BaMnAl2", "functional": "PBE", "state": "relaxed", "lattice_angstrom": [[0.000, 3.531, 3.531], [3.531, 0.000, 3.531], [3.531, 3.531, 0.000]], "species": ["Mn", "Al", "Al", "Ba"], "fractional_positions": [[0.000, 0.000, 0.000], [0.750, 0.750, 0.750], [0.250, 0.250, 0.250], [0.500, 0.500, 0.500]], "dft_energy_ev_per_atom": -3.89, "total_magnetization_mub_per_fu": 0.28, "delta_e_f_ev_per_atom": 0.75}

***

No. 2
{"formula": "La12NdTm7", "functional": "PBE", "state": "relaxed", "lattice_angstrom": [[-0.283, -2.879, 5.661], [9.059, -5.319, -4.632], [1.531, 10.907, 3.243]], "species": ["Nd", "Tm", "Tm", "Tm", "Tm", "Tm", "Tm", "Tm", "La", "La", "La", "La", "La", "La", "La", "La", "La", "La", "La", "La"], "fractional_positions": [[0.000, 0.000, 0.000], [0.884, 0.247, 0.999], [0.500, 0.000, 0.000], [0.363, 0.248, 0.247], [0.885, 0.001, 0.248], [0.637, 0.752, 0.753], [0.115, 0.999, 0.752], [0.116, 0.753, 0.001], [0.431, 0.355, 0.999], [0.091, 0.185, 0.593], [0.907, 0.408, 0.815], [0.909, 0.815, 0.407], [0.431, 0.001, 0.355], [0.076, 0.645, 0.645], [0.569, 0.645, 0.001], [0.499, 0.407, 0.592], [0.569, 0.999, 0.645], [0.501, 0.593, 0.408], [0.093, 0.592, 0.185], [0.924, 0.355, 0.355]], "dft_energy_ev_per_atom": -4.55, "total_magnetization_mub_per_fu": 0.00, "delta_e_f_ev_per_atom": 0.21}

***

No. 3
{"formula": "Y4Si5Ir9", "functional": "PBE", "state": "relaxed", "lattice_angstrom": [[-1.250, -3.110, -4.424], [5.268, 0.427, 1.693], [-2.873, -18.029, 13.487]], "species": ["Y", "Y", "Y", "Y", "Y", "Y", "Y", "Y", "Ir", "Ir", "Ir", "Ir", "Ir", "Ir", "Ir", "Ir", "Ir", "Ir", "Ir", "Ir", "Ir", "Ir", "Ir", "Ir", "Ir", "Ir", "Si", "Si", "Si", "Si", "Si", "Si", "Si", "Si", "Si", "Si"], "fractional_positions": [[0.667, 0.333, 0.174], [0.333, 0.667, 0.527], [0.333, 0.667, 0.973], [0.333, 0.667, 0.826], [0.667, 0.333, 0.027], [0.667, 0.333, 0.326], [0.333, 0.667, 0.674], [0.667, 0.333, 0.473], [0.167, 0.335, 0.087], [0.833, 0.665, 0.913], [0.167, 0.833, 0.087], [0.335, 0.167, 0.587], [0.167, 0.833, 0.413], [0.665, 0.833, 0.087], [0.333, 0.167, 0.750], [0.667, 0.833, 0.250], [0.833, 0.167, 0.587], [0.167, 0.333, 0.250], [0.833, 0.167, 0.913], [0.833, 0.167, 0.750], [0.833, 0.665, 0.587], [0.167, 0.833, 0.250], [0.665, 0.833, 0.413], [0.167, 0.335, 0.413], [0.335, 0.167, 0.913], [0.833, 0.667, 0.750], [0.000, 0.000, 0.833], [0.000, 0.000, 0.167], [0.667, 0.333, 0.668], [0.000, 0.000, 0.667], [0.667, 0.333, 0.832], [0.333, 0.667, 0.332], [0.000, 0.000, 0.500], [0.333, 0.667, 0.168], [0.000, 0.000, 0.333], [0.000, 0.000, 0.000]], "dft_energy_ev_per_atom": -8.33, "e_form_raw_ev_per_atom": -0.9603, "total_magnetization_mub_per_fu": 0.00}

***

No. 4
{"formula": "Ta2BiIr", "functional": "PBE", "state": "relaxed", "lattice_angstrom": [[4.027, 0.000, 0.000], [0.000, 4.027, 0.000], [2.013, 2.013, 10.038]], "species": ["Ta", "Ta", "Ta", "Ta", "Bi", "Bi", "Ir", "Ir"], "fractional_positions": [[0.375, 0.380, 0.750], [0.130, 0.625, 0.250], [0.620, 0.125, 0.250], [0.875, 0.870, 0.750], [0.000, 0.000, 0.000], [0.750, 0.250, 0.500], [0.250, 0.750, 0.500], [0.500, 0.500, 0.000]], "dft_energy_ev_per_atom": -8.50, "total_magnetization_mub_per_fu": 0.00, "delta_e_f_ev_per_atom": 0.61}

***

No. 5
{"formula": "Ca5Si2As6", "functional": "PBE", "state": "relaxed", "lattice_angstrom": [[-3.487, 1.320, 1.449], [-4.220, 0.359, -10.483], [-4.426, -13.153, 1.331]], "species": ["Ca", "Ca", "Ca", "Ca", "Ca", "Ca", "Ca", "Ca", "Ca", "Ca", "As", "As", "As", "As", "As", "As", "As", "As", "As", "As", "As", "As", "Si", "Si", "Si", "Si"], "fractional_positions": [[0.500, 0.500, 0.000], [0.500, 0.838, 0.008], [0.500, 0.429, 0.753], [0.500, 0.571, 0.247], [0.500, 0.162, 0.992], [0.500, 0.071, 0.253], [0.500, 0.662, 0.508], [0.500, 0.338, 0.492], [0.500, 0.000, 0.500], [0.500, 0.929, 0.747], [0.500, 0.317, 0.175], [0.000, 0.488, 0.387], [0.000, 0.660, 0.100], [0.500, 0.683, 0.825], [0.000, 0.840, 0.600], [0.000, 0.340, 0.900], [0.500, 0.183, 0.675], [0.000, 0.988, 0.113], [0.000, 0.160, 0.400], [0.000, 0.012, 0.887], [0.000, 0.512, 0.613], [0.500, 0.817, 0.325], [0.000, 0.821, 0.216], [0.000, 0.179, 0.784], [0.000, 0.321, 0.284], [0.000, 0.679, 0.716]], "dft_energy_ev_per_atom": -4.62, "e_form_raw_ev_per_atom": -0.8684, "total_magnetization_mub_per_fu": 0.00}

***

No. 6
{"formula": "YNbMo2", "functional": "PBE", "state": "relaxed", "lattice_angstrom": [[-6.757, 1.223, 2.943], [1.637, -4.588, 5.665], [-1.493, 0.569, 5.819]], "species": ["Y", "Y", "Mo", "Mo", "Mo", "Mo", "Nb", "Nb"], "fractional_positions": [[0.500, 0.500, 0.000], [0.250, 0.750, 0.500], [0.375, 0.344, 0.750], [0.656, 0.125, 0.250], [0.875, 0.906, 0.750], [0.094, 0.625, 0.250], [0.750, 0.250, 0.500], [0.000, 0.000, 0.000]], "dft_energy_ev_per_atom": -8.76, "total_magnetization_mub_per_fu": 0.00, "delta_e_f_ev_per_atom": 0.79}

***

No. 7
{"formula": "Ba2BeIn", "functional": "PBE", "state": "relaxed", "lattice_angstrom": [[9.282, 0.000, 0.000], [0.000, 9.282, 0.000], [4.641, 4.641, 3.454]], "species": ["In", "In", "Be", "Be", "Ba", "Ba", "Ba", "Ba"], "fractional_positions": [[0.000, 0.000, 0.000], [0.750, 0.250, 0.500], [0.250, 0.750, 0.500], [0.500, 0.500, 0.000], [0.375, 0.428, 0.750], [0.178, 0.625, 0.250], [0.875, 0.822, 0.750], [0.572, 0.125, 0.250]], "dft_energy_ev_per_atom": -2.15, "total_magnetization_mub_per_fu": 0.00, "delta_e_f_ev_per_atom": 0.43}

***

No. 8
{"formula": "ScCo2Te", "functional": "PBE", "state": "relaxed", "lattice_angstrom": [[4.021, 0.000, 0.000], [0.000, 3.249, -0.008], [0.000, 0.015, 5.397]], "species": ["Sc", "Co", "Co", "Te"], "fractional_positions": [[0.500, 0.250, 0.250], [0.000, 0.750, 0.455], [0.000, 0.750, 0.045], [0.500, 0.750, 0.750]], "dft_energy_ev_per_atom": -6.04, "e_form_raw_ev_per_atom": -0.1158, "total_magnetization_mub_per_fu": 2.08}